Sr7Cd | PBE-GGA | relaxed

The structure belongs to space group Fm-3m (No. 225); the cell edges are 11.659, 11.659 and 11.659 Å and the angles 90.00°, 90.00° and 90.00°. Symmetry generates all atoms from Sr at (0.000, 0.000, 0.000), Sr at (0.000, 0.250, 0.250) and Cd at (0.000, 0.000, 0.500).

The value obtained for the density of states at the Fermi level is 1.54 states/eV per atom. The value obtained for the energy is -50.26 eV/cell. As for the formation energy: 0.015 eV/atom. For the magnetization, the calculation gives 0.01 μB/cell. As for the crystal system: cubic.